1.
Entry from the Alexandria database: a geometry-optimized Sm12HoEr7 structure (PBE).

```
Sm12HoEr7
1.0
6.427 3.711 4.656
-6.427 3.711 4.656
0.000 -7.421 4.656
Sm Ho Er
12 1 7
Cartesian
-1.704 -1.462 4.799
-3.637 1.113 5.838
-2.782 -2.593 8.130
0.854 -3.706 5.838
-0.414 2.207 4.799
2.118 -0.745 4.799
-2.118 0.745 9.169
0.414 -2.207 9.169
-0.854 3.706 8.130
2.782 2.593 5.838
3.637 -1.113 8.130
1.704 1.462 9.169
0.000 0.000 0.000
-0.414 -2.214 2.064
-1.710 1.466 2.064
2.124 0.748 2.064
0.000 0.000 6.984
-2.124 -0.748 11.903
1.710 -1.466 11.903
0.414 2.214 11.903
```

Energy of formation in kJ/mol of atoms: 28
N(E_F) in states/eV/cell: 21.8
Total magnetic moment in μB/f.u.: 0.0
Excess energy over the best structure of this formula in the dataset in meV per atom: 32.3


2.
Entry from the Alexandria database: a geometry-optimized Sm10HoEr4 structure (PBE).

```
Sm10HoEr4
1.0
-6.117 6.117 3.859
6.117 -6.117 3.859
6.117 6.117 -3.859
Sm Ho Er
10 1 4
Cartesian
7.335 3.664 -1.929
3.664 4.898 -1.929
6.117 0.000 1.930
2.453 1.219 1.931
-1.219 2.453 1.931
7.335 3.664 1.929
3.664 4.898 1.929
0.000 6.117 1.930
2.453 1.219 5.788
-1.219 2.453 5.788
0.000 0.000 0.000
4.888 2.452 0.000
3.665 -1.229 3.859
2.452 7.346 0.000
1.229 3.665 3.859
```

Energy of formation in kJ/mol of atoms: 68
N(E_F) in states/eV/cell: 20.0
Total magnetic moment in μB/f.u.: 0.0


3.
Entry from the Alexandria database: a geometry-optimized SmHo2Er4 structure (PBE).

```
SmHo2Er4
1.0
6.007 0.000 0.000
0.000 6.544 0.000
-2.782 0.000 11.126
Sm Ho Er
2 4 8
Cartesian
-0.782 1.636 4.043
4.007 4.908 7.083
-1.678 1.636 10.547
0.983 4.908 5.659
2.242 1.636 5.468
4.904 4.908 0.579
-0.971 1.636 7.383
-0.895 4.908 10.258
1.488 3.319 2.333
1.488 6.496 2.333
1.738 0.047 8.793
1.738 3.225 8.793
4.120 1.636 0.868
4.196 4.908 3.743
```

Energy of formation in kJ/mol of atoms: 13
N(E_F) in states/eV/cell: 23.5
Total magnetic moment in μB/f.u.: 0.0
Excess energy over the best structure of this formula in the dataset in meV per atom: 96.5


4.
Entry from the Alexandria database: a geometry-optimized Sm2Ho4Er3 structure (PBE).

```
Sm2Ho4Er3
1.0
8.047 -5.775 0.000
8.047 5.775 0.000
-0.634 0.000 6.080
Sm Ho Er
4 8 6
Cartesian
5.657 4.104 4.124
9.486 4.104 4.996
5.974 -4.104 1.084
9.803 -4.104 1.956
2.924 1.613 5.155
6.672 1.632 5.993
3.241 -1.613 2.115
8.471 1.632 3.127
6.989 -1.632 2.953
12.218 1.613 3.965
8.788 -1.632 0.087
12.535 -1.613 0.925
7.888 4.652 1.520
5.128 1.125 2.479
4.811 -1.125 5.519
10.649 1.125 0.561
10.332 -1.125 3.601
7.571 -4.652 4.560
```

Energy of formation in kJ/mol of atoms: 9
N(E_F) in states/eV/cell: 25.1
Total magnetic moment in μB/f.u.: 0.0


5.
Entry from the Alexandria database: a geometry-optimized SmHo3Er7 structure (PBE).

```
SmHo3Er7
1.0
6.235 -5.547 0.000
6.235 5.547 0.000
-2.628 0.000 5.094
Sm Ho Er
1 3 7
Cartesian
0.000 0.000 0.000
4.921 2.292 2.547
6.235 0.000 0.000
4.921 -2.292 2.547
-1.314 0.000 2.547
1.572 2.159 4.042
2.887 0.000 1.500
1.572 -2.159 4.042
8.270 2.159 1.052
6.955 0.000 3.594
8.270 -2.159 1.052
```

Energy of formation in kJ/mol of atoms: 26
N(E_F) in states/eV/cell: 16.6
Total magnetic moment in μB/f.u.: 0.1
Excess energy over the best structure of this formula in the dataset in meV per atom: 116.5


6.
Entry from the Alexandria database: a geometry-optimized Sm6Ho5Er structure (PBE).

```
Sm6Ho5Er
1.0
-2.531 5.031 7.594
2.531 -5.031 7.594
2.531 5.031 -7.594
Sm Ho Er
6 5 1
Cartesian
2.531 2.513 -2.531
0.000 2.512 0.000
2.531 2.513 2.531
0.000 2.517 5.063
0.000 7.549 0.000
0.000 2.517 10.126
0.000 0.000 2.532
2.531 0.000 5.065
0.000 0.000 7.594
0.000 5.031 2.529
0.000 0.000 12.657
2.531 0.000 0.000
```

Energy of formation in kJ/mol of atoms: 2
N(E_F) in states/eV/cell: 15.5
Total magnetic moment in μB/f.u.: 0.0


7.
Entry from the Alexandria database: a geometry-optimized Sm7HoEr3 structure (PBE).

```
Sm7HoEr3
1.0
7.038 0.000 0.000
0.000 5.597 0.000
-3.495 0.000 9.325
Sm Ho Er
7 1 3
Cartesian
0.000 0.000 0.000
0.013 2.799 2.724
0.017 2.799 5.971
0.032 0.000 7.736
3.511 0.000 1.589
3.526 2.799 3.354
3.530 2.799 6.601
-1.748 0.000 4.663
-1.530 2.799 9.320
1.772 0.000 4.663
5.073 2.799 0.005
```

Energy of formation in kJ/mol of atoms: 12
N(E_F) in states/eV/cell: 15.8
Total magnetic moment in μB/f.u.: 0.0
Excess energy over the best structure of this formula in the dataset in meV per atom: 0.0


8.
Entry from the Alexandria database: a geometry-optimized SmHo5Er7 structure (PBE).

```
SmHo5Er7
1.0
-3.327 5.496 5.730
3.327 -5.496 5.730
3.327 5.496 -5.730
Sm Ho Er
1 5 7
Cartesian
0.000 0.000 0.000
1.548 2.506 -2.275
5.106 2.506 -2.275
3.327 0.000 3.484
-1.779 2.990 3.455
1.779 2.990 3.455
3.327 1.870 0.596
0.000 0.000 3.491
0.000 3.627 0.609
0.000 0.000 6.999
0.000 7.365 0.609
0.000 5.496 3.458
0.000 3.626 6.326
```

Energy of formation in kJ/mol of atoms: 25
N(E_F) in states/eV/cell: 24.5
Total magnetic moment in μB/f.u.: 0.0


9.
Entry from the Alexandria database: a geometry-optimized SmHo4Er7 structure (PBE).

```
SmHo4Er7
1.0
6.464 0.000 0.000
1.014 6.679 0.000
2.058 0.446 8.693
Sm Ho Er
1 4 7
Cartesian
0.000 0.000 0.000
2.328 4.241 2.719
3.993 1.619 6.189
5.543 5.507 2.504
7.208 2.884 5.974
0.507 3.339 0.000
2.131 0.881 3.370
4.086 4.980 5.587
3.479 1.699 0.435
6.057 5.426 8.258
5.449 2.145 3.106
7.405 6.244 5.323
```

Energy of formation in kJ/mol of atoms: 9
N(E_F) in states/eV/cell: 20.6
Total magnetic moment in μB/f.u.: 0.0


10.
Entry from the Alexandria database: a geometry-optimized Sm2HoEr structure (PBE).

```
Sm2HoEr
1.0
12.587 0.000 0.000
0.000 5.699 0.000
0.000 0.000 7.296
Sm Ho Er
8 4 4
Cartesian
1.059 1.425 7.295
1.060 1.425 3.643
5.234 4.274 3.647
5.234 4.274 7.291
7.353 1.425 0.005
7.353 1.425 3.649
11.528 4.274 0.001
11.527 4.274 3.652
2.110 4.274 5.470
4.183 1.425 1.822
8.404 4.274 5.474
10.477 1.425 1.826
2.108 4.274 1.822
4.185 1.425 5.469
8.402 4.274 1.826
10.479 1.425 5.474
```

Energy of formation in kJ/mol of atoms: 2
N(E_F) in states/eV/cell: 27.5
Total magnetic moment in μB/f.u.: 0.0
Excess energy over the best structure of this formula in the dataset in meV per atom: 6.3


11.
Entry from the Alexandria database: a geometry-optimized Sm3Ho2Er4 structure (PBE).

```
Sm3Ho2Er4
1.0
8.214 -5.768 0.000
8.214 5.768 0.000
-0.714 0.000 6.007
Sm Ho Er
6 4 8
Cartesian
7.678 4.616 4.506
4.829 1.154 5.491
5.186 -1.154 2.487
10.527 1.154 3.520
10.884 -1.154 0.516
8.035 -4.616 1.502
6.114 4.178 1.096
9.956 4.178 1.908
5.757 -4.178 4.099
9.599 -4.178 4.912
3.279 1.585 2.098
7.092 1.589 2.904
2.922 -1.585 5.102
8.978 1.589 0.099
6.735 -1.589 5.908
12.791 1.585 0.905
8.621 -1.589 3.103
12.434 -1.585 3.909
```

Energy of formation in kJ/mol of atoms: 10
N(E_F) in states/eV/cell: 25.9
Total magnetic moment in μB/f.u.: 0.0


12.
Entry from the Alexandria database: a geometry-optimized Sm5HoEr3 structure (PBE).

```
Sm5HoEr3
1.0
7.576 -5.798 0.000
7.576 5.798 0.000
-6.279 0.000 7.578
Sm Ho Er
10 2 6
Cartesian
3.739 2.926 1.953
1.960 0.000 1.801
7.576 2.953 0.000
-1.817 0.000 7.237
5.134 2.926 5.625
3.739 -2.926 1.953
10.689 0.000 0.341
7.576 -2.953 0.000
6.913 0.000 5.777
5.134 -2.926 5.625
0.021 0.000 4.501
8.851 0.000 3.077
-3.139 0.000 3.789
-5.044 0.000 6.246
3.283 0.000 4.895
7.576 0.000 0.000
5.590 0.000 2.683
13.917 0.000 1.331
```

Energy of formation in kJ/mol of atoms: 48
N(E_F) in states/eV/cell: 26.5
Total magnetic moment in μB/f.u.: 0.0
Excess energy over the best structure of this formula in the dataset in meV per atom: 211.5